(1)
Material: YTcB2
Method: DFT, PBEsol
State: optimized geometry

```
8
Lattice="4.216 0.000 0.000 0.000 4.216 0.000 -2.108 -2.108 6.966" Properties=species:S:1:pos:R:3 pbc="T T T"
B -1.054 2.108 5.224
Tc 0.000 2.108 3.483
Tc 0.000 0.000 0.000
B 0.000 3.162 1.741
Y 2.108 2.108 0.000
B 1.054 2.108 5.224
Y 2.108 0.000 3.483
B 0.000 1.054 1.741
```

space-group type = I4_1/amd
energy of formation from the pure elements = 0.015 eV per atom
energy = -32.06 eV per formula unit

---

(2)
Material: FeAsC3
Method: DFT, PBEsol
State: optimized geometry

```
5
Lattice="3.741 0.000 0.000 0.000 3.741 0.000 0.000 0.000 3.741" Properties=species:S:1:pos:R:3 pbc="T T T"
C 0.000 1.871 0.000
Fe 0.000 0.000 0.000
C 0.000 0.000 1.871
As 1.871 1.871 1.871
C 1.871 0.000 0.000
```

space-group type = Pm-3m
energy of formation from the pure elements = 2.014 eV per atom
energy = -32.93 eV per formula unit
energy above the most stable polymorph in this dataset = 0 meV per atom

---

(3)
Material: CaNdHg2
Method: DFT, PBEsol
State: optimized geometry

```
4
Lattice="-4.129 2.794 -1.728 -4.395 -2.473 -1.552 -4.380 0.320 2.925" Properties=species:S:1:pos:R:3 pbc="T T T"
Nd 0.000 0.000 0.000
Hg -3.226 0.160 -0.089
Hg -9.678 0.481 -0.266
Ca -6.452 0.321 -0.177
```

space-group type = Fm-3m
energy of formation from the pure elements = -0.618 eV per atom
energy = -10.90 eV per formula unit

---

(4)
Material: Zr3SiBi
Method: DFT, PBEsol
State: optimized geometry

```
5
Lattice="-4.381 -2.897 -0.567 2.550 -4.225 1.885 -1.488 1.289 4.903" Properties=species:S:1:pos:R:3 pbc="T T T"
Bi 0.000 0.000 0.000
Si -1.659 -2.917 3.110
Zr -2.191 -1.449 -0.284
Zr 1.275 -2.113 0.943
Zr -0.744 0.645 2.451
```

energy relative to the elements, uncorrected = 1.284 eV per atom
space-group type = Pm-3m
energy = -30.88 eV per formula unit

---

(5)
Material: SbAsCl2
Method: DFT, PBEsol
State: optimized geometry

```
4
Lattice="-1.715 0.948 2.355 -2.498 -1.139 -1.361 1.312 -7.741 4.070" Properties=species:S:1:pos:R:3 pbc="T T T"
Cl 0.336 -1.984 1.043
Cl 0.976 -5.756 3.027
Sb -2.107 -0.096 0.497
As -1.450 -3.966 2.532
```

energy relative to the elements, uncorrected = 0.178 eV per atom
space-group type = P4/mmm
energy = -12.97 eV per formula unit
energy above the most stable polymorph in this dataset = 272 meV per atom

---

(6)
Material: Li2SnPb
Method: DFT, PBEsol
State: optimized geometry

```
4
Lattice="4.889 0.000 0.000 2.445 4.234 0.000 2.445 1.411 3.992" Properties=species:S:1:pos:R:3 pbc="T T T"
Pb 4.889 2.823 1.996
Li 2.445 1.411 0.998
Sn 0.000 0.000 0.000
Li 7.334 4.234 2.994
```

space-group type = Fm-3m
energy of formation from the pure elements = -0.323 eV per atom
energy = -13.48 eV per formula unit

---

(7)
Material: FeRuPt2
Method: DFT, PBEsol
State: optimized geometry

```
4
Lattice="-1.748 -0.348 2.002 -2.177 -2.913 -2.407 2.690 -3.456 1.748" Properties=species:S:1:pos:R:3 pbc="T T T"
Pt 0.122 -0.156 0.079
Fe -1.386 -2.371 0.172
Ru 0.578 -2.040 1.945
Pt 0.796 -3.878 0.021
```

space-group type = Pmm2
energy of formation from the pure elements = -0.042 eV per atom
energy = -33.23 eV per formula unit

---

(8)
Material: AlBiTePt2
Method: DFT, PBEsol
State: optimized geometry

```
5
Lattice="4.649 0.000 0.000 0.000 4.649 0.000 0.000 0.000 5.279" Properties=species:S:1:pos:R:3 pbc="T T T"
Pt 0.000 2.324 0.000
Al 0.000 0.000 0.000
Pt 2.324 0.000 0.000
Bi 2.324 2.324 2.640
Te 0.000 0.000 2.640
```

energy relative to the elements, uncorrected = 0.389 eV per atom
space-group type = P4/mmm
energy = -23.89 eV per formula unit

---

(9)
Material: Na3GeSe3
Method: DFT, PBEsol
State: optimized geometry

```
28
Lattice="-4.028 4.466 5.586 6.559 -4.657 2.316 7.202 9.106 -2.086" Properties=species:S:1:pos:R:3 pbc="T T T"
Ge 5.838 3.960 3.451
Na 8.636 7.376 6.044
Na 4.588 3.024 -0.286
Na 2.296 3.547 5.082
Ge 3.895 4.955 2.363
Na 1.096 1.538 -0.229
Se 10.158 4.405 0.822
Na 5.145 5.890 6.101
Se 2.335 3.219 1.984
Se 8.236 8.352 0.141
Se 5.320 -1.581 3.189
Ge 11.315 6.105 -0.344
Na 0.366 5.395 2.192
Na -0.159 1.803 3.298
Na 5.780 8.052 3.422
Ge -1.583 2.809 6.159
Se 1.497 0.562 5.674
Na 9.366 3.520 3.623
Se 3.041 6.564 3.855
Se -0.426 4.509 4.993
Na 7.437 5.367 0.733
Se 6.691 2.350 1.960
Se 4.613 5.969 0.359
Se 7.398 5.695 3.831
Na 3.953 0.863 2.393
Se 5.120 2.945 5.456
Se 4.413 10.496 2.626
Na 9.891 7.112 2.517
```

energy relative to the elements, uncorrected = -0.851 eV per atom
space-group type = P2_1/c
energy = -26.64 eV per formula unit

---

(10)
Material: Ca2AsPdPb
Method: DFT, PBEsol
State: optimized geometry

```
5
Lattice="5.390 0.000 0.000 0.000 5.390 0.000 0.000 0.000 5.284" Properties=species:S:1:pos:R:3 pbc="T T T"
Pb 0.000 0.000 2.642
As 0.000 0.000 0.000
Ca 2.695 0.000 0.000
Pd 2.695 2.695 2.642
Ca 0.000 2.695 0.000
```

space-group type = P4/mmm
energy of formation from the pure elements = -0.019 eV per atom
energy = -19.42 eV per formula unit

---

(11)
Material: Fe2CuMo
Method: DFT, PBEsol
State: optimized geometry

```
4
Lattice="2.577 0.000 0.000 -1.288 4.291 -0.104 0.000 -0.782 4.351" Properties=species:S:1:pos:R:3 pbc="T T T"
Fe 1.288 4.231 -0.088
Mo 1.288 -0.365 2.216
Cu 1.288 1.909 0.967
Fe 0.000 1.633 3.226
```

space-group type = Cm
energy of formation from the pure elements = 0.235 eV per atom
energy = -33.09 eV per formula unit
energy above the most stable polymorph in this dataset = 51 meV per atom

---

(12)
Material: LaSIO2
Method: DFT, PBEsol
State: optimized geometry

```
5
Lattice="-3.608 1.500 -1.492 -0.377 -3.359 -2.463 -3.593 -3.435 5.234" Properties=species:S:1:pos:R:3 pbc="T T T"
La 0.000 0.000 0.000
I -1.796 -1.718 2.617
O -1.804 0.750 -0.746
S -3.789 -2.647 0.639
O -0.189 -1.679 -1.232
```

energy relative to the elements, uncorrected = -0.947 eV per atom
space-group type = P4/mmm
energy = -26.73 eV per formula unit

---

(13)
Material: MgTeF3
Method: DFT, PBEsol
State: optimized geometry

```
5
Lattice="4.091 0.000 0.000 0.000 4.091 0.000 0.000 0.000 4.091" Properties=species:S:1:pos:R:3 pbc="T T T"
Te 0.000 0.000 0.000
F 2.046 0.000 2.046
F 0.000 2.046 2.046
F 2.046 2.046 0.000
Mg 2.046 2.046 2.046
```

energy relative to the elements, uncorrected = -2.048 eV per atom
space-group type = Pm-3m
energy = -21.26 eV per formula unit

---

(14)
Material: TlMoRh2
Method: DFT, PBEsol
State: optimized geometry

```
4
Lattice="-1.634 -3.300 0.821 2.813 -0.673 2.892 -2.383 1.865 2.752" Properties=species:S:1:pos:R:3 pbc="T T T"
Rh -1.191 0.932 1.376
Tl -0.602 -1.054 3.233
Mo -0.817 -1.650 0.411
Rh 1.406 -0.336 1.446
```

space-group type = P4/mmm
energy of formation from the pure elements = 0.350 eV per atom
energy = -29.28 eV per formula unit
energy above the most stable polymorph in this dataset = 294 meV per atom

---

(15)
Material: MoPt2Pb
Method: DFT, PBEsol
State: optimized geometry

```
4
Lattice="-0.475 -2.614 1.154 0.746 -2.126 -4.509 4.240 0.419 2.694" Properties=species:S:1:pos:R:3 pbc="T T T"
Pb -0.238 -1.307 0.577
Mo 2.255 -2.161 -0.331
Pt 2.120 0.209 1.347
Pt 0.373 -1.063 -2.255
```

space-group type = Cmmm
energy of formation from the pure elements = 0.184 eV per atom
energy = -28.96 eV per formula unit

---

(16)
Material: CaCdS2
Method: DFT, PBEsol
State: optimized geometry

```
4
Lattice="3.938 0.000 0.000 1.969 3.410 0.000 1.969 1.137 6.259" Properties=species:S:1:pos:R:3 pbc="T T T"
Cd 3.938 2.274 3.130
S 5.907 3.410 4.627
Ca 0.000 0.000 0.000
S 1.969 1.137 1.633
```

energy relative to the elements, uncorrected = -1.347 eV per atom
space-group type = R-3m
energy = -17.48 eV per formula unit

---

(17)
Material: CaMnPb2
Method: DFT, PBEsol
State: optimized geometry

```
4
Lattice="3.478 0.000 0.062 0.000 4.507 0.000 -1.317 0.000 6.376" Properties=species:S:1:pos:R:3 pbc="T T T"
Ca 1.739 2.254 0.031
Pb 2.001 0.000 4.693
Mn -0.659 2.254 3.188
Pb 0.160 0.000 1.745
```

space-group type = P2/m
energy of formation from the pure elements = 0.071 eV per atom
energy = -19.61 eV per formula unit

---

(18)
Material: AgIrRh
Method: DFT, PBEsol
State: optimized geometry

```
3
Lattice="2.693 0.000 0.000 1.347 2.336 0.000 1.347 0.000 7.088" Properties=species:S:1:pos:R:3 pbc="T T T"
Ir 1.347 0.000 2.440
Rh 2.693 0.000 4.663
Ag 1.347 0.000 7.073
```

space-group type = Fmm2
energy of formation from the pure elements = 0.341 eV per atom
energy = -20.25 eV per formula unit

---

(19)
Material: BaTiTe2N
Method: DFT, PBEsol
State: optimized geometry

```
5
Lattice="-2.145 0.377 -3.783 -3.747 -4.669 1.659 -3.903 4.062 2.618" Properties=species:S:1:pos:R:3 pbc="T T T"
Te -1.873 -2.334 0.830
Ba 0.000 0.000 0.000
N -1.073 0.189 -1.892
Te -1.951 2.031 1.309
Ti -4.897 -0.115 0.247
```

energy relative to the elements, uncorrected = 1.179 eV per atom
space-group type = P4/mmm
energy = -20.15 eV per formula unit

---

(20)
Material: CdSe3
Method: DFT, PBEsol
State: optimized geometry

```
8
Lattice="5.067 0.000 0.000 0.000 5.306 0.000 0.000 0.000 7.696" Properties=species:S:1:pos:R:3 pbc="T T T"
Se 2.534 3.995 7.445
Se 2.534 1.311 7.445
Se 0.000 3.964 0.251
Se 0.000 2.653 3.944
Cd 2.534 2.653 4.793
Cd 0.000 0.000 2.903
Se 0.000 1.342 0.251
Se 2.534 0.000 3.752
```

energy relative to the elements, uncorrected = -0.065 eV per atom
space-group type = Pmmn
energy = -13.01 eV per formula unit

---

(21)
Material: SiSb2Te
Method: DFT, PBEsol
State: optimized geometry

```
4
Lattice="3.313 -0.002 -0.004 -1.092 5.759 0.062 -1.092 -2.807 5.029" Properties=species:S:1:pos:R:3 pbc="T T T"
Sb -0.546 2.879 0.031
Si 1.656 -0.001 -0.002
Te 0.564 1.475 2.544
Sb -0.546 -1.404 2.514
```

energy relative to the elements, uncorrected = 0.385 eV per atom
space-group type = C2/m
energy = -16.85 eV per formula unit
energy above the most stable polymorph in this dataset = 23 meV per atom

---

(22)
Material: K2PtSe
Method: DFT, PBEsol
State: optimized geometry

```
4
Lattice="2.741 0.000 0.000 0.000 5.926 0.000 0.000 0.000 6.387" Properties=species:S:1:pos:R:3 pbc="T T T"
Pt 0.000 0.000 0.000
K 0.000 0.000 3.193
K 1.371 2.963 0.000
Se 1.371 2.963 3.193
```

energy relative to the elements, uncorrected = -0.086 eV per atom
space-group type = Pmmm
energy = -13.42 eV per formula unit

---

(23)
Material: BaNa2Zn2
Method: DFT, PBEsol
State: optimized geometry

```
5
Lattice="-0.173 -1.778 4.251 2.926 -3.328 -1.273 3.970 6.533 0.393" Properties=species:S:1:pos:R:3 pbc="T T T"
Na 4.136 0.326 0.305
Zn 2.361 -1.820 1.836
Na 2.586 1.101 3.066
Zn 4.361 3.247 1.536
Ba 0.000 0.000 0.000
```

space-group type = I4/mmm
energy of formation from the pure elements = 0.018 eV per atom
energy = -8.02 eV per formula unit

---

(24)
Material: Al2C
Method: DFT, PBEsol
State: optimized geometry

```
6
Lattice="-1.510 -2.446 -0.172 2.758 -0.312 4.335 -4.701 2.802 1.434" Properties=species:S:1:pos:R:3 pbc="T T T"
Al -0.106 -1.855 3.209
Al -2.536 -0.405 3.922
Al -0.918 0.449 1.675
C -3.715 0.540 0.841
C 0.262 -0.496 4.756
Al -3.348 1.899 2.388
```

space-group type = C2/m
energy of formation from the pure elements = 0.300 eV per atom
energy = -16.93 eV per formula unit

---

(25)
Material: CaMg3Rh
Method: DFT, PBEsol
State: optimized geometry

```
5
Lattice="-1.783 -0.862 4.557 -0.926 -4.718 -1.255 4.545 -1.300 1.532" Properties=species:S:1:pos:R:3 pbc="T T T"
Ca 0.918 -3.440 2.417
Mg 2.272 -0.650 0.766
Rh 0.000 0.000 0.000
Mg -0.891 -0.431 2.279
Mg -0.463 -2.359 -0.627
```

space-group type = Pm-3m
energy of formation from the pure elements = -0.160 eV per atom
energy = -16.22 eV per formula unit

---

(26)
Material: PtCSe2
Method: DFT, PBEsol
State: optimized geometry

```
4
Lattice="-1.083 3.497 -1.562 -3.154 0.207 -2.419 -4.924 2.230 3.336" Properties=species:S:1:pos:R:3 pbc="T T T"
Se -3.890 1.937 1.963
Se -5.271 3.997 -2.609
C 0.000 0.000 0.000
Pt -4.581 2.967 -0.323
```

energy relative to the elements, uncorrected = 0.810 eV per atom
space-group type = R-3m
energy = -21.07 eV per formula unit

---

(27)
Material: ScFe3Cu
Method: DFT, PBEsol
State: optimized geometry

```
5
Lattice="-3.427 -2.579 -0.543 2.463 -2.818 -2.163 0.936 -2.024 3.704" Properties=species:S:1:pos:R:3 pbc="T T T"
Fe -1.713 -1.289 -0.272
Fe 0.468 -1.012 1.852
Sc -0.014 -3.710 0.499
Fe 1.232 -1.409 -1.081
Cu 0.000 0.000 0.000
```

space-group type = Pm-3m
energy of formation from the pure elements = 0.896 eV per atom
energy = -33.35 eV per formula unit

---

(28)
Material: Zr2P2Au
Method: DFT, PBEsol
State: optimized geometry

```
5
Lattice="4.987 0.000 0.000 0.000 4.987 0.000 -2.494 -2.494 3.816" Properties=species:S:1:pos:R:3 pbc="T T T"
P 2.494 2.494 1.341
Zr 0.000 2.494 1.908
Au 0.000 0.000 0.000
P 0.000 0.000 2.474
Zr 2.494 0.000 1.908
```

space-group type = I4/mmm
energy of formation from the pure elements = -0.758 eV per atom
energy = -37.48 eV per formula unit